DFT (PBE) results for a geometry-optimized Cr2InSb structure.

Cell: 8.9595 8.9595 8.9595 Å, 20.50 20.50 20.50°
Last column: magnetic moment on the atom in μB.
Fractional coordinates of all 4 atoms:
Cr (0.9895, 0.9895, 0.9895)  -2.26
Sb (0.7381, 0.7381, 0.7381)  0.03
In (0.5102, 0.5102, 0.5102)  -0.04
Cr (0.2621, 0.2621, 0.2621)  2.38

The uncorrected formation energy is 0.429 eV per atom. The value obtained for the excess energy over the best structure of this formula in the dataset is 202 meV/atom. Its energy is -24.39 eV for the cell shown. Its space group is R3m (160).